one | The following is a GGA-PBE calculation of an optimized crystal structure of TaC, from Alexandria.

Values from the calculation:
DOS(E_F) in states/eV per cell: 4.43

abc: 4.3686 4.3686 4.3686
angles: 90.00 90.00 90.00
Closest atoms and distances in Å follow each position.
Space group Pm-3m (No. 221)
Unique sites:
Ta1 0.0000 0.0000 0.5000 x3  4 C 2.18
C1 0.0000 0.5000 0.5000 x3  4 Ta 2.18



two | The following is a GGA-PBE calculation of an optimized crystal structure of TaC, from Alexandria.

Values from the calculation:
DOS(E_F) in states/eV per cell: 2.08

abc: 3.1236 10.1999 3.0982
angles: 90.00 90.00 90.00
Closest atoms and distances in Å follow each position.
Space group Cmcm (No. 63)
Unique sites:
Ta1 0.0000 0.1452 0.2500 x4  5 C 2.19-2.20
C1 0.0000 0.3602 0.2500 x4  5 Ta 2.19-2.20



three | The following is a GGA-PBE calculation of an optimized crystal structure of TaC, from Alexandria.

Values from the calculation:
DOS(E_F) in states/eV per cell: 1.21

abc: 2.7984 2.7984 2.7984
angles: 90.00 90.00 90.00
Closest atoms and distances in Å follow each position.
Space group Pm-3m (No. 221)
Unique sites:
Ta1 0.0000 0.0000 0.0000 x1  8 C 2.42
C1 0.5000 0.5000 0.5000 x1  8 Ta 2.42



four | The following is a GGA-PBE calculation of an optimized crystal structure of TaC, from Alexandria.

Values from the calculation:
DOS(E_F) in states/eV per cell: 1.34

abc: 3.0553 3.0553 2.8802
angles: 90.00 90.00 120.00
Closest atoms and distances in Å follow each position.
Space group P-6m2 (No. 187)
Unique sites:
Ta1 0.0000 0.0000 0.0000 x1  6 C 2.28
C1 0.3333 0.6667 0.5000 x1  6 Ta 2.28



Stability, lowest: one



one | The following is a GGA-PBE calculation of an optimized crystal structure of TaC, from Alexandria.

Values from the calculation:
DOS(E_F) in states/eV per cell: 3.68

abc: 8.0646 8.0646 3.5264
angles: 90.00 90.00 120.00
Closest atoms and distances in Å follow each position.
Space group P6_3/m (No. 176)
Unique sites:
Ta1 0.1203 0.6790 0.2500 x6  4 C 2.08-2.19
C1 0.0362 0.3754 0.2500 x6  4 Ta 2.08-2.19



two | The following is a GGA-PBE calculation of an optimized crystal structure of TaC, from Alexandria.

Values from the calculation:
DOS(E_F) in states/eV per cell: 7.22

abc: 3.2810 3.2810 22.9021
angles: 90.00 90.00 120.00
Closest atoms and distances in Å follow each position.
Space group R-3m (No. 166, hexagonal axes)
Unique sites:
Ta1 0.0000 0.0000 0.1066 x6  3 C 2.02
C1 0.0000 0.0000 0.4088 x6  3 Ta 2.02



Stability, lowest: two



one | The following is a GGA-PBE calculation of an optimized crystal structure of TaC, from Alexandria.

Values from the calculation:
DOS(E_F) in states/eV per cell: 3.82

abc: 4.3147 4.3133 6.0427
angles: 90.00 110.59 90.00
Closest atoms and distances in Å follow each position.
Space group C2/c (No. 15)
Unique sites:
Ta1 0.0000 0.1243 0.2500 x4  4 C 2.16
C1 0.0000 0.3757 0.7500 x4  4 Ta 2.16



two | The following is a GGA-PBE calculation of an optimized crystal structure of TaC, from Alexandria.

Values from the calculation:
DOS(E_F) in states/eV per cell: 10.57

abc: 5.8973 5.8973 5.8973
angles: 90.00 90.00 90.00
Closest atoms and distances in Å follow each position.
Space group Fd-3m (No. 227, origin choice 2)
Unique sites:
Ta1 0.1250 0.1250 0.1250 x8  4 C 2.55, 4 Ta 2.55
C1 0.1250 0.1250 0.6250 x8  4 Ta 2.55, 4 C 2.55



three | The following is a GGA-PBE calculation of an optimized crystal structure of TaC, from Alexandria.

Values from the calculation:
DOS(E_F) in states/eV per cell: 3.84

abc: 3.4323 10.8464 4.9104
angles: 90.00 90.00 90.00
Closest atoms and distances in Å follow each position.
Space group Pmmn (No. 59, origin choice 2)
Unique sites:
Ta1 0.2500 0.1100 0.0522 x4  4 C 2.10-2.13
Ta2 0.2500 0.7500 0.3789 x2  4 C 2.11-2.16
C1 0.2500 0.2500 0.3554 x2  4 Ta 2.13-2.16
C2 0.2500 0.5773 0.1818 x4  4 Ta 2.10-2.13



Stability, lowest: two



one | The following is a GGA-PBE calculation of an optimized crystal structure of TaC, from Alexandria.

Values from the calculation:
DOS(E_F) in states/eV per cell: 1.42

abc: 3.0347 3.0347 3.2027
angles: 90.00 90.00 90.00
Closest atoms and distances in Å follow each position.
Space group P4/mmm (No. 123)
Unique sites:
Ta1 0.0000 0.0000 0.0000 x1  4 C 2.15
C1 0.5000 0.5000 0.0000 x1  4 Ta 2.15



two | The following is a GGA-PBE calculation of an optimized crystal structure of TaC, from Alexandria.

Values from the calculation:
DOS(E_F) in states/eV per cell: 9.54

abc: 5.9268 5.9268 5.9268
angles: 90.00 90.00 90.00
Closest atoms and distances in Å follow each position.
Space group Pm-3n (No. 223)
Unique sites:
Ta1 0.0000 0.2500 0.5000 x6  4 C 2.10
C1 0.0000 0.5000 0.2500 x6  4 Ta 2.10



Stability, lowest: one



one | The following is a GGA-PBE calculation of an optimized crystal structure of TaC2, from Alexandria.

Values from the calculation:
DOS(E_F) in states/eV per cell: 2.01

abc: 3.1108 4.4836 4.5617
angles: 90.00 90.00 90.00
Closest atoms and distances in Å follow each position.
Space group Immm (No. 71)
Unique sites:
Ta1 0.0000 0.0000 0.0000 x2  8 C 2.22-2.35
C1 0.0000 0.5000 0.1518 x4  1 C 1.38



two | The following is a GGA-PBE calculation of an optimized crystal structure of TaC2, from Alexandria.

Values from the calculation:
DOS(E_F) in states/eV per cell: 2.49

abc: 2.9726 2.9726 6.5880
angles: 90.00 90.00 90.00
Closest atoms and distances in Å follow each position.
Space group P4/nmm (No. 129, origin choice 2)
Unique sites:
Ta1 0.2500 0.2500 0.2298 x2  9 C 2.22-2.33
C1 0.2500 0.2500 0.8765 x2  5 Ta 2.22-2.33
C2 0.2500 0.7500 0.5000 x2  4 C 2.10, 4 Ta 2.32



Stability, lowest: two



one | The following is a GGA-PBE calculation of an optimized crystal structure of TaC2, from Alexandria.

Values from the calculation:
DOS(E_F) in states/eV per cell: 4.77

abc: 6.3413 6.3413 2.6742
angles: 90.00 90.00 120.00
Closest atoms and distances in Å follow each position.
Space group P-62m (No. 189)
Unique sites:
Ta1 0.0000 0.0000 0.0000 x1  6 C 2.27
Ta2 0.3333 0.6667 0.5000 x2  9 C 2.27-2.32
C1 0.0000 0.2896 0.5000 x3  2 C 1.58
C2 0.0000 0.4236 0.0000 x3  2 C 1.58



two | The following is a GGA-PBE calculation of an optimized crystal structure of TaC2, from Alexandria.

Values from the calculation:
DOS(E_F) in states/eV per cell: 3.26

abc: 4.9807 2.7001 8.2737
angles: 90.00 90.00 90.00
Closest atoms and distances in Å follow each position.
Space group Pnma (No. 62)
Unique sites:
Ta1 0.2208 0.2500 0.1287 x4  9 C 2.26-2.37
C1 0.1647 0.2500 0.8471 x4  2 C 1.62
C2 0.1810 0.2500 0.4010 x4  2 C 1.62



three | The following is a GGA-PBE calculation of an optimized crystal structure of TaC2, from Alexandria.

Values from the calculation:
DOS(E_F) in states/eV per cell: 2.38

abc: 3.1791 3.1791 5.9081
angles: 90.00 90.00 90.00
Closest atoms and distances in Å follow each position.
Space group I4/mmm (No. 139)
Unique sites:
Ta1 0.0000 0.0000 0.0000 x2  10 C 2.26-2.35
C1 0.0000 0.0000 0.3829 x4  1 C 1.38



Stability, lowest: one